A relaxed structure of Ba4OsRh. Source: Alexandria via LeMat-Bulk, functional PBE.

Summary:
Magnetic moment in μB/atom: 0.1658
Mass density in g cm⁻³: 6.8
ΔH_f (0 K) in kJ/mol of atoms: 140.15
DOS at the Fermi energy in states/eV/cell: 47.32

Lattice parameters (Å, degrees): 9.380 9.380 9.380 90.00 90.00 90.00
Space group F-43m (No. 216)
Symmetry-distinct sites (fractional):
Ba (0.125, 0.125, 0.125) (multiplicity 16)
Os (0.250, 0.250, 0.750) (multiplicity 4)
Rh (0.000, 0.000, 0.500) (multiplicity 4)

---

A relaxed structure of Ba2OsRh. Source: Alexandria via LeMat-Bulk, functional PBE.

Summary:
Magnetic moment in μB/atom: 0.0000
Mass density in g cm⁻³: 8.8
ΔH_f (0 K) in kJ/mol of atoms: 96.04
DOS at the Fermi energy in states/eV/cell: 12.55
E above lowest polymorph in eV/atom: 0.850

Lattice parameters (Å, degrees): 3.6279 3.6279 28.1817 90.00 90.00 120.00
Space group R-3m (No. 166, hexagonal axes)
Symmetry-distinct sites (fractional):
Ba (0.0000, 0.0000, 0.2490) (multiplicity 6)
Os (0.0000, 0.0000, 0.0000) (multiplicity 3)
Rh (0.0000, 0.0000, 0.5000) (multiplicity 3)

---

A relaxed structure of Ba2OsRh. Source: Alexandria via LeMat-Bulk, functional PBE.

Summary:
Magnetic moment in μB/atom: 0.0000
Mass density in g cm⁻³: 7.5
ΔH_f (0 K) in kJ/mol of atoms: 20.15
DOS at the Fermi energy in states/eV/cell: 7.12
E above lowest polymorph in eV/atom: 0.064

Lattice parameters (Å, degrees): 4.440 5.026 11.332 90.00 90.00 90.00
Space group Amm2 (No. 38)
Symmetry-distinct sites (fractional):
Ba (0.000, 0.000, 0.000) (multiplicity 2)
Ba (0.500, 0.000, 0.289) (multiplicity 2)
Os (0.000, 0.000, 0.685) (multiplicity 2)
Rh (0.500, 0.000, 0.603) (multiplicity 2)

---

A relaxed structure of BaOsRu2Rh. Source: Alexandria via LeMat-Bulk, functional PBE.

Summary:
Magnetic moment in μB/atom: 0.7450
Mass density in g cm⁻³: 8.6
ΔH_f (0 K) in kJ/mol of atoms: 201.15
DOS at the Fermi energy in states/eV/cell: 8.79

Lattice parameters (Å, degrees): 4.706 4.706 5.525 90.00 90.00 90.00
Space group P4/mmm (No. 123)
Symmetry-distinct sites (fractional):
Ba (0.000, 0.000, 0.000) (multiplicity 1)
Os (0.500, 0.500, 0.000) (multiplicity 1)
Ru (0.000, 0.500, 0.500) (multiplicity 2)
Rh (0.000, 0.000, 0.500) (multiplicity 1)

---

A relaxed structure of BaOsRhS2. Source: Alexandria via LeMat-Bulk, functional PBE.

Summary:
E_form (uncorrected) in eV/atom: 0.23
Magnetic moment in μB/atom: 0.2275
Mass density in g cm⁻³: 7.1
DOS at the Fermi energy in states/eV/cell: 3.75

Lattice parameters (Å, degrees): 4.939 4.939 4.729 90.00 90.00 90.00
Space group P4/mmm (No. 123)
Symmetry-distinct sites (fractional):
Ba (0.000, 0.000, 0.000) (multiplicity 1)
Os (0.500, 0.500, 0.000) (multiplicity 1)
Rh (0.500, 0.500, 0.500) (multiplicity 1)
S (0.000, 0.500, 0.500) (multiplicity 2)

---

A relaxed structure of BaOsRh2Se. Source: Alexandria via LeMat-Bulk, functional PBE.

Summary:
E_form (uncorrected) in eV/atom: 0.63
Magnetic moment in μB/atom: 0.0000
Mass density in g cm⁻³: 7.2
DOS at the Fermi energy in states/eV/cell: 4.89

Lattice parameters (Å, degrees): 4.691 4.691 6.451 90.00 90.00 90.00
Space group P4/mmm (No. 123)
Symmetry-distinct sites (fractional):
Ba (0.000, 0.000, 0.000) (multiplicity 1)
Os (0.000, 0.000, 0.500) (multiplicity 1)
Rh (0.000, 0.500, 0.500) (multiplicity 2)
Se (0.500, 0.500, 0.000) (multiplicity 1)

---

A relaxed structure of BaV2OsRh. Source: Alexandria via LeMat-Bulk, functional PBE.

Summary:
Magnetic moment in μB/atom: 0.6893
Mass density in g cm⁻³: 6.9
ΔH_f (0 K) in kJ/mol of atoms: 120.10
DOS at the Fermi energy in states/eV/cell: 7.32

Lattice parameters (Å, degrees): 4.653 4.653 5.937 90.00 90.00 90.00
Space group P4/mmm (No. 123)
Symmetry-distinct sites (fractional):
Ba (0.000, 0.000, 0.000) (multiplicity 1)
V (0.000, 0.500, 0.500) (multiplicity 2)
Os (0.000, 0.000, 0.500) (multiplicity 1)
Rh (0.500, 0.500, 0.000) (multiplicity 1)

---

A relaxed structure of Ba2OsRu. Source: Alexandria via LeMat-Bulk, functional PBE.

Summary:
Magnetic moment in μB/atom: 0.5487
Mass density in g cm⁻³: 8.9
ΔH_f (0 K) in kJ/mol of atoms: 120.18
DOS at the Fermi energy in states/eV/cell: 6.01
E above lowest polymorph in eV/atom: 0.996

Lattice parameters (Å, degrees): 3.201 4.538 7.296 90.00 90.10 90.00
Space group P2/m (No. 10)
Symmetry-distinct sites (fractional):
Ba (0.001, 0.000, 0.251) (multiplicity 2)
Os (0.500, 0.500, 0.500) (multiplicity 1)
Ru (0.500, 0.500, 0.000) (multiplicity 1)

---

A relaxed structure of BaOs2Ru. Source: Alexandria via LeMat-Bulk, functional PBE.

Summary:
Magnetic moment in μB/atom: 0.0000
Mass density in g cm⁻³: 9.6
ΔH_f (0 K) in kJ/mol of atoms: 92.26
DOS at the Fermi energy in states/eV/cell: 27.05
E above lowest polymorph in eV/atom: 0.532

Lattice parameters (Å, degrees): 5.045 5.045 16.808 90.00 90.00 90.00
Space group I4_1/amd (No. 141, origin choice 2)
Symmetry-distinct sites (fractional):
Ba (0.000, 0.250, 0.375) (multiplicity 4)
Os (0.000, 0.000, 0.000) (multiplicity 8)
Ru (0.000, 0.250, 0.875) (multiplicity 4)

---

A relaxed structure of BaOs2Ru. Source: Alexandria via LeMat-Bulk, functional PBE.

Summary:
Magnetic moment in μB/atom: 0.0002
Mass density in g cm⁻³: 13.6
ΔH_f (0 K) in kJ/mol of atoms: 154.08
DOS at the Fermi energy in states/eV/cell: 6.91
E above lowest polymorph in eV/atom: 1.173

Lattice parameters (Å, degrees): 3.897 3.897 4.991 90.00 90.00 90.00
Space group P4/mmm (No. 123)
Symmetry-distinct sites (fractional):
Ba (0.000, 0.000, 0.000) (multiplicity 1)
Os (0.000, 0.500, 0.500) (multiplicity 2)
Ru (0.500, 0.500, 0.000) (multiplicity 1)

---

A relaxed structure of BaOs2Ru. Source: Alexandria via LeMat-Bulk, functional PBE.

Summary:
Magnetic moment in μB/atom: 0.0001
Mass density in g cm⁻³: 13.0
ΔH_f (0 K) in kJ/mol of atoms: 112.66
DOS at the Fermi energy in states/eV/cell: 10.68
E above lowest polymorph in eV/atom: 0.743

Lattice parameters (Å, degrees): 2.917 5.363 10.139 90.00 90.00 90.00
Space group Imm2 (No. 44)
Symmetry-distinct sites (fractional):
Ba (0.000, 0.000, 0.000) (multiplicity 2)
Os (0.000, 0.000, 0.501) (multiplicity 2)
Os (0.000, 0.500, 0.209) (multiplicity 2)
Ru (0.000, 0.500, 0.788) (multiplicity 2)

---

A relaxed structure of Ba2OsRu. Source: Alexandria via LeMat-Bulk, functional PBE.

Summary:
Magnetic moment in μB/atom: 0.0000
Mass density in g cm⁻³: 7.4
ΔH_f (0 K) in kJ/mol of atoms: 37.84
DOS at the Fermi energy in states/eV/cell: 10.13
E above lowest polymorph in eV/atom: 0.143

Lattice parameters (Å, degrees): 4.295 5.078 11.616 90.00 90.00 90.00
Space group Amm2 (No. 38)
Symmetry-distinct sites (fractional):
Ba (0.000, 0.000, 0.000) (multiplicity 2)
Ba (0.500, 0.000, 0.285) (multiplicity 2)
Os (0.000, 0.000, 0.687) (multiplicity 2)
Ru (0.500, 0.000, 0.600) (multiplicity 2)

---

A relaxed structure of BaOs2Ru. Source: Alexandria via LeMat-Bulk, functional PBE.

Summary:
Magnetic moment in μB/atom: 0.5652
Mass density in g cm⁻³: 13.7
ΔH_f (0 K) in kJ/mol of atoms: 156.27
DOS at the Fermi energy in states/eV/cell: 13.15
E above lowest polymorph in eV/atom: 1.195

Lattice parameters (Å, degrees): 6.694 6.694 6.694 90.00 90.00 90.00
Space group Fm-3m (No. 225)
Symmetry-distinct sites (fractional):
Ba (0.000, 0.000, 0.000) (multiplicity 4)
Os (0.250, 0.250, 0.250) (multiplicity 8)
Ru (0.000, 0.000, 0.500) (multiplicity 4)

---

A relaxed structure of BaOs2Ru. Source: Alexandria via LeMat-Bulk, functional PBE.

Summary:
Magnetic moment in μB/atom: 0.0000
Mass density in g cm⁻³: 10.5
ΔH_f (0 K) in kJ/mol of atoms: 40.93
DOS at the Fermi energy in states/eV/cell: 5.76
E above lowest polymorph in eV/atom: 0.000

Lattice parameters (Å, degrees): 4.3923 4.3923 17.6316 90.00 90.00 120.00
Space group R3m (No. 160, hexagonal axes)
Symmetry-distinct sites (fractional):
Ba (0.0000, 0.0000, 0.0000) (multiplicity 3)
Os (0.0000, 0.0000, 0.1869) (multiplicity 3)
Os (0.0000, 0.0000, 0.5039) (multiplicity 3)
Ru (0.0000, 0.0000, 0.8137) (multiplicity 3)

---

A relaxed structure of Ba2OsRu. Source: Alexandria via LeMat-Bulk, functional PBE.

Summary:
Magnetic moment in μB/atom: 0.0706
Mass density in g cm⁻³: 7.9
ΔH_f (0 K) in kJ/mol of atoms: 57.39
DOS at the Fermi energy in states/eV/cell: 4.70
E above lowest polymorph in eV/atom: 0.345

Lattice parameters (Å, degrees): 3.197 3.824 9.689 90.00 90.00 90.00
Space group Pmm2 (No. 25)
Symmetry-distinct sites (fractional):
Ba (0.000, 0.000, 0.000) (multiplicity 1)
Ba (0.500, 0.500, 0.429) (multiplicity 1)
Os (0.000, 0.000, 0.675) (multiplicity 1)
Ru (0.500, 0.500, 0.753) (multiplicity 1)